# 1
A plane-wave DFT calculation with GGA-PBE was carried out for La3Pu2PaN6 after structural relaxation.

a b c (Å): 6.2181 10.7613 6.2906
angles (deg): 90.00 109.23 90.00
With the nearest neighbours (Å) after each atom.
Space group C2/m (No. 12)
Asymmetric unit:
La1 0.0000 0.0000 0.0000 x2  6 N 2.67-2.72
La2 0.0000 0.3314 0.0000 x4  6 N 2.67-2.71
Pu1 0.0000 0.1663 0.5000 x4  6 N 2.45
Pa1 0.0000 0.5000 0.5000 x2  6 N 2.38-2.39
N1 0.2330 0.3375 0.7124 x8  1 Pa 2.38, 2 Pu 2.45, 2 La 2.67
N2 0.2455 0.0000 0.7131 x4  1 Pa 2.39, 2 Pu 2.45

Calculated values
energy relative to the elements, uncorrected: -1.39 eV/atom
Fermi-level density of states: 25.85 states/eV/cell
E: -9.97 eV/atom

# 2
A plane-wave DFT calculation with GGA-PBE was carried out for TbMn2SiN after structural relaxation.

a b c (Å): 3.6172 10.6234 6.9990
angles (deg): 90.00 90.00 90.00
With the nearest neighbours (Å) after each atom.
Space group Cmcm (No. 63)
Asymmetric unit:
Tb1 0.0000 0.0437 0.2500 x4  4 N 2.56
Mn1 0.0000 0.3334 0.0566 x8  1 N 1.81
Si1 0.0000 0.2332 0.7500 x4  6 Mn 2.37-2.40
N1 0.0000 0.5000 0.0000 x4  2 Mn 1.81

Calculated values
energy relative to the elements, uncorrected: -0.82 eV/atom
Fermi-level density of states: 12.19 states/eV/cell
E: -8.17 eV/atom

# 3
A plane-wave DFT calculation with GGA-PBE was carried out for La6ZnCoPb2 after structural relaxation.

a b c (Å): 6.9983 6.9992 7.7377
angles (deg): 76.63 76.71 62.97
With the nearest neighbours (Å) after each atom.
Space group P-1 (No. 2)
Asymmetric unit:
La1 0.1636 0.1716 0.3310 x2  1 Co 2.57
La2 0.2066 0.7057 0.1541 x2  1 Co 3.11, 1 Pb 3.30, 1 Zn 3.39
La3 0.3275 0.3363 0.6690 x2  1 Co 2.56
Zn1 0.5000 0.0000 0.0000 x1  6 La 3.10-3.39, 2 Pb 3.44
Co1 0.0000 0.5000 0.5000 x1  4 La 2.56-2.57
Pb1 0.3233 0.8221 0.7159 x2  7 La 3.30-3.55, 1 Zn 3.44

Calculated values
Fermi-level density of states: 7.80 states/eV/cell
formation energy: -0.303 eV/atom
E: -4.84 eV/atom

# 4
A plane-wave DFT calculation with GGA-PBE was carried out for Be2AlP after structural relaxation.

a b c (Å): 3.1408 3.1408 4.8165
angles (deg): 90.00 90.00 90.00
With the nearest neighbours (Å) after each atom.
Space group P4/mmm (No. 123)
Asymmetric unit:
Be1 0.0000 0.0000 0.2261 x2  1 Be 2.18
Al1 0.5000 0.5000 0.5000 x1  2 P 2.41, 8 Be 2.58
P1 0.5000 0.5000 0.0000 x1  2 Al 2.41, 8 Be 2.47

Calculated values
Fermi-level density of states: 0.59 states/eV/cell
formation energy: 0.279 eV/atom
E: -3.87 eV/atom
relative energy among the computed polymorphs: 132 meV/atom

# 5
A plane-wave DFT calculation with GGA-PBE was carried out for In4Bi2Pb9 after structural relaxation.

a b c (Å): 5.3035 5.8908 16.7675
angles (deg): 82.90 80.94 63.25
With the nearest neighbours (Å) after each atom.
Space group P-1 (No. 2)
Asymmetric unit:
In1 0.1645 0.3035 0.3675 x2  9 Pb 3.37-3.63, 1 In 3.37, 2 Bi 3.67
In2 0.1654 0.4993 0.1699 x2  1 In 3.37, 8 Pb 3.39-3.69, 3 Bi 3.39-3.49
Bi1 0.1671 0.8978 0.7680 x2  5 In 3.39-3.67, 7 Pb 3.42-3.61
Pb1 0.1654 0.1011 0.5680 x2  4 In 3.37-3.53, 1 Bi 3.42, 7 Pb 3.42-3.68
Pb2 0.1672 0.6967 0.9683 x2  8 Pb 3.42-3.66, 1 Bi 3.42, 3 In 3.44-3.69
Pb3 0.4968 0.9047 0.1013 x2  3 In 3.39-3.55, 7 Pb 3.41-3.66, 2 Bi 3.61
Pb4 0.4976 0.7035 0.3011 x2  4 Pb 3.40-3.61, 5 In 3.40-3.63, 3 Bi 3.43-3.53
Pb5 0.5000 0.5000 0.5000 x1  8 Pb 3.40-3.52, 4 In 3.63

Calculated values
Fermi-level density of states: 6.65 states/eV/cell
formation energy: 0.017 eV/atom
E: -3.46 eV/atom

# 6
A plane-wave DFT calculation with GGA-PBE was carried out for LiMnAgCl4 after structural relaxation.

a b c (Å): 7.5976 7.7139 10.8991
angles (deg): 90.00 90.00 90.00
With the nearest neighbours (Å) after each atom.
Space group Imma (No. 74)
Asymmetric unit:
Li1 0.2500 0.2500 0.2500 x4  6 Cl 2.57-2.68
Mn1 0.0000 0.0000 0.0000 x4  6 Cl 2.50-2.59
Ag1 0.0000 0.2500 0.6426 x4  4 Cl 2.56-2.62
Cl1 0.0000 0.0271 0.2286 x8  1 Mn 2.50, 1 Ag 2.56, 2 Li 2.57
Cl2 0.2272 0.2500 0.0047 x8  2 Mn 2.59, 1 Ag 2.62, 1 Li 2.68

Calculated values
energy relative to the elements, uncorrected: -1.11 eV/atom
Fermi-level density of states: 0.00 states/eV/cell
E: -4.16 eV/atom